Computed, not measured: a geometry-optimized BaTa structure at the PBE-GGA level of DFT.

The structure in POSCAR format:
```
BaTa
1.0
5.9927 0.0000 0.0000
-2.9964 5.1899 0.0000
0.0000 0.0000 8.4796
Ba Ta
4 4
Cartesian
0.0000 0.0000 2.1199 Ba
0.0000 0.0000 6.3597 Ba
0.0000 3.4599 2.1199 Ba
2.9964 1.7300 6.3597 Ba
0.0000 3.4599 5.1475 Ta
0.0000 3.4599 7.5718 Ta
2.9964 1.7300 0.9077 Ta
2.9964 1.7300 3.3320 Ta
```

Properties
Magnetization = 0.00 μB per atom
E = -5.584 eV per atom
D(E_F) = 1.85 states/eV per atom
Offset from the most stable computed form = 0.784 eV/atom
Energy of formation = 2.6 eV/f.u.